# 1
Compound: LaZn2Ni2
Source: Alexandria via LeMat-Bulk
Functional: GGA-PBE
Structure: optimized geometry

The calculation puts the calculated total energy at -39.48 eV per cell. For the magnetization, the calculation gives 0.00 μB/f.u. The calculated formation energy is -0.141 eV/atom.

It has space group P4/mbm (No. 127), with a = 7.441 Å, b = 7.441 Å, c = 2.919 Å, α = 90.00°, β = 90.00° and γ = 90.00°. Symmetry generates all atoms from La at (0.000, 0.000, 0.000), Zn at (0.124, 0.376, 0.500) and Ni at (0.166, 0.666, 0.000).

# 2
Compound: CaTlZnCu
Source: Alexandria via LeMat-Bulk
Functional: GGA-PBE
Structure: optimized geometry

The calculation puts the calculated total energy at -40.16 eV per cell. For the magnetization, the calculation gives 0.00 μB/f.u. The calculated formation energy is -0.076 eV/atom.

It has space group F-43m (No. 216), with a = 6.917 Å, b = 6.917 Å, c = 6.917 Å, α = 90.00°, β = 90.00° and γ = 90.00°. Symmetry generates all atoms from Ca at (0.000, 0.000, 0.000), Tl at (0.000, 0.000, 0.500), Zn at (0.250, 0.250, 0.750) and Cu at (0.250, 0.250, 0.250).